No. 1
An optimized crystal structure of TcAg2P. Source: Alexandria via LeMat-Bulk, functional PBE.

Geometry as POSCAR:
```
TcAg2P
1.0
3.066 0.000 0.000
0.000 3.066 0.000
0.000 0.000 6.883
Tc Ag P
1 2 1
direct
0.000 0.000 0.000
0.000 0.000 0.569
0.500 0.500 0.290
0.500 0.500 0.856
```

Energy relative to the elements   0.03 eV per atom
Total moment   0.00 Bohr magnetons per cell

***

No. 2
An optimized crystal structure of Hg2BiP2. Source: Alexandria via LeMat-Bulk, functional PBE.

Geometry as POSCAR:
```
Hg2BiP2
1.0
-2.222 2.222 5.900
2.222 -2.222 5.900
2.222 2.222 -5.900
Hg Bi P
2 1 2
direct
0.118 0.118 0.000
0.882 0.882 0.000
0.500 0.500 0.000
0.250 0.750 0.500
0.750 0.250 0.500
```

Distance to the lowest polymorph of the same formula   0.295 eV/atom
Energy relative to the elements   0.60 eV per atom
Total moment   0.00 Bohr magnetons per cell

***

No. 3
An optimized crystal structure of U3CrN7. Source: Alexandria via LeMat-Bulk, functional PBE.

Geometry as POSCAR:
```
U3CrN7
1.0
3.720 -5.104 0.000
3.720 5.104 0.000
0.000 0.000 7.224
U Cr N
6 2 14
direct
0.001 0.001 0.000
0.036 0.502 0.250
0.498 0.964 0.250
0.502 0.036 0.750
0.964 0.498 0.750
0.999 0.999 0.500
0.497 0.497 0.500
0.503 0.503 0.000
0.129 0.871 0.750
0.135 0.865 0.250
0.146 0.396 0.977
0.147 0.396 0.524
0.396 0.146 0.023
0.396 0.147 0.476
0.411 0.589 0.250
0.589 0.411 0.750
0.604 0.853 0.976
0.604 0.854 0.523
0.853 0.604 0.024
0.854 0.604 0.477
0.865 0.135 0.750
0.871 0.129 0.250
```

Formation energy (no corrections)   -1038 meV/atom
Total moment   6.20 Bohr magnetons per cell

***

No. 4
An optimized crystal structure of K3OsF8. Source: Alexandria via LeMat-Bulk, functional PBE.

Geometry as POSCAR:
```
K3OsF8
1.0
-2.946 2.946 5.694
2.946 -2.946 5.694
2.946 2.946 -5.694
K Os F
3 1 8
direct
0.000 0.000 0.000
0.250 0.750 0.500
0.750 0.250 0.500
0.500 0.500 0.000
0.196 0.196 0.599
0.196 0.597 0.000
0.403 0.403 0.599
0.403 0.804 0.000
0.597 0.196 0.000
0.597 0.597 0.401
0.804 0.403 0.000
0.804 0.804 0.401
```

Formation energy (no corrections)   -2253 meV/atom
Total moment   1.00 Bohr magnetons per cell

***

No. 5
An optimized crystal structure of Y2CdMoPb. Source: Alexandria via LeMat-Bulk, functional PBE.

Geometry as POSCAR:
```
Y2CdMoPb
1.0
5.632 0.000 0.000
0.000 5.632 0.000
0.000 0.000 5.379
Y Cd Mo Pb
2 1 1 1
direct
0.000 0.500 0.000
0.500 0.000 0.000
0.000 0.000 0.000
0.500 0.500 0.500
0.000 0.000 0.500
```

Energy relative to the elements   1.16 eV per atom
Total moment   4.74 Bohr magnetons per cell

***

No. 6
An optimized crystal structure of HfGaH2Pt. Source: Alexandria via LeMat-Bulk, functional PBE.

Geometry as POSCAR:
```
HfGaH2Pt
1.0
3.704 0.000 0.000
0.000 3.704 0.000
0.000 0.000 5.418
Hf Ga H Pt
1 1 2 1
direct
0.000 0.000 0.000
0.500 0.500 0.500
0.000 0.500 0.000
0.500 0.000 0.000
0.000 0.000 0.500
```

Energy   -5.29 eV/atom
Total moment   0.00 Bohr magnetons per cell

***

No. 7
An optimized crystal structure of N. Source: Alexandria via LeMat-Bulk, functional PBE.

Geometry as POSCAR:
```
N
1.0
3.963 0.000 0.000
0.000 6.843 0.000
-1.921 0.000 3.560
N
4
direct
0.111 0.000 0.233
0.245 0.896 0.474
0.755 0.396 0.526
0.889 0.500 0.767
```

Distance to the lowest polymorph of the same formula   0.001 eV/atom
Formation energy (no corrections)   1 meV/atom
Total moment   0.00 Bohr magnetons per cell

***

No. 8
An optimized crystal structure of KRePb2. Source: Alexandria via LeMat-Bulk, functional PBE.

Geometry as POSCAR:
```
KRePb2
1.0
3.379 -4.825 0.000
3.379 4.825 0.000
0.000 0.000 3.183
K Re Pb
1 1 2
direct
0.000 0.000 0.000
0.500 0.500 0.000
0.000 0.500 0.500
0.500 0.000 0.500
```

Distance to the lowest polymorph of the same formula   0.588 eV/atom
Energy relative to the elements   1.07 eV per atom
Total moment   2.56 Bohr magnetons per cell

***

No. 9
An optimized crystal structure of Pm10YSc4. Source: Alexandria via LeMat-Bulk, functional PBE.

Geometry as POSCAR:
```
Pm10YSc4
1.0
-5.605 5.605 4.089
5.605 -5.605 4.089
5.605 5.605 -4.089
Pm Y Sc
10 1 4
direct
0.035 0.919 0.345
0.081 0.426 0.116
0.250 0.750 0.500
0.310 0.965 0.884
0.426 0.310 0.345
0.574 0.690 0.655
0.690 0.035 0.116
0.750 0.250 0.500
0.919 0.574 0.884
0.965 0.081 0.655
0.000 0.000 0.000
0.289 0.566 0.855
0.434 0.289 0.723
0.566 0.711 0.277
0.711 0.434 0.145
```

Energy relative to the elements   0.54 eV per atom
Total moment   0.00 Bohr magnetons per cell

***

No. 10
An optimized crystal structure of GaHRh2Au. Source: Alexandria via LeMat-Bulk, functional PBE.

Geometry as POSCAR:
```
GaHRh2Au
1.0
3.943 0.000 0.000
0.000 3.943 0.000
0.000 0.000 4.069
Ga H Rh Au
1 1 2 1
direct
0.000 0.000 0.000
0.000 0.000 0.500
0.000 0.500 0.500
0.500 0.000 0.500
0.500 0.500 0.000
```

Distance to the lowest polymorph of the same formula   0.079 eV/atom
Total moment   0.00 Bohr magnetons per cell

***

No. 11
An optimized crystal structure of TbNd4Tl3. Source: Alexandria via LeMat-Bulk, functional PBE.

Geometry as POSCAR:
```
TbNd4Tl3
1.0
2.764 1.596 9.371
-2.764 1.596 9.371
0.000 -3.192 9.371
Tb Nd Tl
1 4 3
direct
0.000 0.000 0.000
0.131 0.131 0.131
0.387 0.387 0.387
0.613 0.613 0.613
0.869 0.869 0.869
0.265 0.265 0.265
0.500 0.500 0.500
0.735 0.735 0.735
```

Distance to the lowest polymorph of the same formula   0.030 eV/atom
Energy relative to the elements   -0.24 eV per atom
Total moment   1.82 Bohr magnetons per cell

***

No. 12
An optimized crystal structure of KSiPb2. Source: Alexandria via LeMat-Bulk, functional PBE.

Geometry as POSCAR:
```
KSiPb2
1.0
1.936 1.118 9.687
-1.936 1.118 9.687
0.000 -2.235 9.687
K Si Pb
1 1 2
direct
0.000 0.000 0.000
0.500 0.500 0.500
0.230 0.230 0.230
0.770 0.770 0.770
```

Formation energy (no corrections)   196 meV/atom
Total moment   0.00 Bohr magnetons per cell